A geometry-optimized MnHgBO4 structure, computed with GGA+U.

Cell lengths 5.4689, 5.4689, 5.9987 Å; angles 90.00, 90.00, 102.76 degrees
Last column: nearest neighbours and their distance in Å.
Fractional positions:
Mn1 0.1267 0.8733 0.7500  4 O 1.89-2.06
Mn2 0.8733 0.1267 0.2500  4 O 1.89-2.06
Hg1 0.5000 0.5000 0.0000  2 O 2.09
Hg2 0.5000 0.5000 0.5000  2 O 2.09
B1 0.1644 0.8356 0.2500  4 O 1.49-1.50
B2 0.8356 0.1644 0.7500  4 O 1.49-1.50
O1 0.1165 0.2175 0.7500  1 B 1.50
O2 0.2175 0.1165 0.2500  1 B 1.50
O3 0.2564 0.7436 0.0390  1 B 1.49
O4 0.2564 0.7436 0.4610  1 B 1.49
O5 0.7436 0.2564 0.5390  1 B 1.49
O6 0.7436 0.2564 0.9610  1 B 1.49
O7 0.7825 0.8835 0.7500  1 B 1.50
O8 0.8835 0.7825 0.2500  1 B 1.50

Calculated values
Volume (Å³/atom): 12.50
SG: Cmcm, No. 63
Density of states at the Fermi level (states/eV per cell): 0.818
Total energy (eV per cell): -86.73